The following is a GGA-PBEsol calculation of NaRe2F after structural relaxation, from Alexandria.

Computed properties:
**Magnetic moment**: 0.01 μB per cell
**Formation energy without anion corrections**: 1.96 eV/atom
**VASP energy**: -5.5331 eV per atom
**Calculated volume**: 14.17 Å³/atom
**Density of states at the Fermi level**: 20.219 states/eV per cell

abc: 6.098 6.098 6.098
angles: 90.00 90.00 90.00
Space group Fm-3m (No. 225)
Unique sites:
Na 0.000 0.000 0.000 x4
Re 0.250 0.250 0.250 x8
F 0.000 0.000 0.500 x4